Al2Fe3: optimized geometry, PBE.

Final energy, eV for the cell shown: -31.6
ρ, g/cm3: 5.3
Calculated formation energy, eV/atom: 0.261
Volume, Å³/cell: 70

a = 11.594 Å, b = 11.594 Å, c = 11.594 Å
α = 13.14°, β = 13.14°, γ = 13.14°
Each line ends with the local moment (μB).
Sites, in units of the cell vectors:
1 Al 0.538 0.538 0.538  -0.01
2 Al 0.462 0.462 0.462  -0.01
3 Fe 0.000 0.000 0.000  -2.74
4 Fe 0.069 0.069 0.069  -2.48
5 Fe 0.931 0.931 0.931  -2.48

---

Al5Fe: optimized geometry, PBE.

Final energy, eV for the cell shown: -27.6
ρ, g/cm3: 3.6
Calculated formation energy, eV/atom: -0.076
Volume, Å³/cell: 88

a = 5.158 Å, b = 5.158 Å, c = 6.544 Å
α = 71.95°, β = 71.95°, γ = 32.36°
Sites, in units of the cell vectors:
1 Al 0.973 0.973 0.002
2 Al 0.323 0.323 0.346
3 Al 0.679 0.679 0.707
4 Al 0.620 0.620 0.228
5 Al 0.958 0.958 0.609
6 Fe 0.280 0.280 0.940